[1]
VASP calculation (PBE-GGA) on a geometry-optimized ZnPt structure.

Calculated values
Calculated formation energy = -0.4010 eV per atom
V = 14.861 A^3/atom
Spin magnetization = 0.00 μB/f.u.

Lattice parameters (Å, degrees): 4.4771 8.1746 4.8727 90.00 90.00 90.00
Fractional coordinates of all 12 atoms:
Zn1 0.0000 0.0817 0.0000
Zn2 0.0000 0.4121 0.0016
Zn3 0.0000 0.5879 0.5016
Zn4 0.0000 0.9183 0.5000
Zn5 0.5000 0.4084 0.3445
Zn6 0.5000 0.5916 0.8445
Pt1 0.0000 0.2613 0.5003
Pt2 0.0000 0.7387 0.0003
Pt3 0.5000 0.0815 0.3264
Pt4 0.5000 0.2685 0.8465
Pt5 0.5000 0.7315 0.3465
Pt6 0.5000 0.9185 0.8264

=====

[2]
VASP calculation (PBE-GGA) on a geometry-optimized ZnPt structure.

Calculated values
Calculated formation energy = -0.5695 eV per atom
V = 14.565 A^3/atom
Spin magnetization = 0.00 μB/f.u.

Lattice parameters (Å, degrees): 2.8751 2.8751 3.5239 90.00 90.00 90.00
Fractional coordinates of all 2 atoms:
Zn1 0.0000 0.0000 0.0000
Pt1 0.5000 0.5000 0.5000

=====

[3]
VASP calculation (PBE-GGA) on a geometry-optimized ZnPt7 structure.

Calculated values
Calculated formation energy = -0.0327 eV per atom
V = 24.943 A^3/atom
Spin magnetization = 0.01 μB/f.u.

Lattice parameters (Å, degrees): 2.7918 3.8866 36.7802 90.00 90.00 90.00
Fractional coordinates of all 16 atoms:
Zn1 0.2500 0.2500 0.2131
Zn2 0.7500 0.7500 0.7869
Pt1 0.2500 0.2500 0.2851
Pt2 0.2500 0.2500 0.3638
Pt3 0.2500 0.2500 0.4417
Pt4 0.2500 0.2500 0.5193
Pt5 0.2500 0.2500 0.5972
Pt6 0.2500 0.2500 0.6759
Pt7 0.2500 0.2500 0.7586
Pt8 0.7500 0.7500 0.2414
Pt9 0.7500 0.7500 0.3241
Pt10 0.7500 0.7500 0.4028
Pt11 0.7500 0.7500 0.4807
Pt12 0.7500 0.7500 0.5583
Pt13 0.7500 0.7500 0.6362
Pt14 0.7500 0.7500 0.7149

=====

[4]
VASP calculation (PBE-GGA) on a geometry-optimized ZnPt15 structure.

Calculated values
Calculated formation energy = 0.0292 eV per atom
Energy above the lowest structure with this stoichiometry = 0.0033 eV per atom
V = 22.084 A^3/atom
Spin magnetization = 0.01 μB/f.u.

Lattice parameters (Å, degrees): 7.9174 45.2347 3.9465 90.00 90.00 90.00
Fractional coordinates of all 64 atoms:
Zn1 0.1525 0.1705 0.0000
Zn2 0.1525 0.8295 0.5000
Zn3 0.8475 0.1705 0.5000
Zn4 0.8475 0.8295 0.0000
Pt1 0.1179 0.2094 0.5000
Pt2 0.1179 0.7906 0.0000
Pt3 0.1204 0.2562 0.0000
Pt4 0.1204 0.7438 0.5000
Pt5 0.1237 0.3013 0.5000
Pt6 0.1237 0.6987 0.0000
Pt7 0.1255 0.3454 0.0000
Pt8 0.1253 0.3895 0.5000
Pt9 0.1251 0.4337 0.0000
Pt10 0.1250 0.4779 0.5000
Pt11 0.1250 0.5221 0.0000
Pt12 0.1251 0.5663 0.5000
Pt13 0.1253 0.6105 0.0000
Pt14 0.1255 0.6546 0.5000
Pt15 0.3701 0.2570 0.5000
Pt16 0.3701 0.7430 0.0000
Pt17 0.3717 0.2139 0.0000
Pt18 0.3717 0.7861 0.5000
Pt19 0.3739 0.3006 0.0000
Pt20 0.3739 0.6994 0.5000
Pt21 0.3753 0.3450 0.5000
Pt22 0.3754 0.3894 0.0000
Pt23 0.3751 0.4337 0.5000
Pt24 0.3750 0.4779 0.0000
Pt25 0.3750 0.5221 0.5000
Pt26 0.3751 0.5663 0.0000
Pt27 0.3754 0.6106 0.5000
Pt28 0.3753 0.6550 0.0000
Pt29 0.3788 0.1698 0.5000
Pt30 0.3788 0.8302 0.0000
Pt31 0.6212 0.1698 0.0000
Pt32 0.6212 0.8302 0.5000
Pt33 0.6247 0.3450 0.0000
Pt34 0.6246 0.3894 0.5000
Pt35 0.6249 0.4337 0.0000
Pt36 0.6250 0.4779 0.5000
Pt37 0.6250 0.5221 0.0000
Pt38 0.6249 0.5663 0.5000
Pt39 0.6246 0.6106 0.0000
Pt40 0.6247 0.6550 0.5000
Pt41 0.6261 0.3006 0.5000
Pt42 0.6261 0.6994 0.0000
Pt43 0.6283 0.2139 0.5000
Pt44 0.6283 0.7861 0.0000
Pt45 0.6299 0.2570 0.0000
Pt46 0.6299 0.7430 0.5000
Pt47 0.8745 0.3454 0.5000
Pt48 0.8747 0.3895 0.0000
Pt49 0.8749 0.4337 0.5000
Pt50 0.8750 0.4779 0.0000
Pt51 0.8750 0.5221 0.5000
Pt52 0.8749 0.5663 0.0000
Pt53 0.8747 0.6105 0.5000
Pt54 0.8745 0.6546 0.0000
Pt55 0.8763 0.3013 0.0000
Pt56 0.8763 0.6987 0.5000
Pt57 0.8796 0.2562 0.5000
Pt58 0.8796 0.7438 0.0000
Pt59 0.8821 0.2094 0.0000
Pt60 0.8821 0.7906 0.5000

=====

[5]
VASP calculation (PBE-GGA) on a geometry-optimized ZnPt124 structure.

Calculated values
Calculated formation energy = -0.0133 eV per atom
V = 15.687 A^3/atom
Spin magnetization = 0.15 μB/f.u.

Lattice parameters (Å, degrees): 14.0493 14.0493 14.0493 60.00 60.00 60.00
Fractional coordinates of all 125 atoms:
Zn1 0.0000 0.0000 0.0000
Pt1 0.0000 0.0000 0.1976
Pt2 0.0000 0.0000 0.4002
Pt3 0.0000 0.0000 0.5998
Pt4 0.0000 0.0000 0.8024
Pt5 0.0000 0.1976 0.0000
Pt6 0.0000 0.1976 0.8024
Pt7 0.9998 0.1994 0.1994
Pt8 0.9998 0.1994 0.6014
Pt9 0.0001 0.2000 0.3999
Pt10 0.0002 0.3986 0.8006
Pt11 0.0000 0.4002 0.0000
Pt12 0.0001 0.3999 0.2000
Pt13 0.0001 0.3999 0.3999
Pt14 0.0000 0.4002 0.5998
Pt15 0.0000 0.5998 0.0000
Pt16 0.0000 0.5998 0.4002
Pt17 0.9999 0.6001 0.6001
Pt18 0.9999 0.6001 0.8000
Pt19 0.9998 0.6014 0.1994
Pt20 0.9999 0.8000 0.6001
Pt21 0.0002 0.8006 0.3986
Pt22 0.0002 0.8006 0.8006
Pt23 0.0000 0.8024 0.0000
Pt24 0.0000 0.8024 0.1976
Pt25 0.1976 0.0000 0.0000
Pt26 0.1976 0.0000 0.8024
Pt27 0.1976 0.8024 0.0000
Pt28 0.1994 0.9998 0.1994
Pt29 0.1994 0.9998 0.6014
Pt30 0.1994 0.1994 0.9998
Pt31 0.1994 0.1994 0.6014
Pt32 0.1994 0.6014 0.9998
Pt33 0.1994 0.6014 0.1994
Pt34 0.2000 0.0001 0.3999
Pt35 0.1998 0.1998 0.1998
Pt36 0.1998 0.1998 0.4006
Pt37 0.2000 0.2000 0.8000
Pt38 0.2000 0.3999 0.0001
Pt39 0.2000 0.3999 0.3999
Pt40 0.1998 0.4000 0.6000
Pt41 0.1998 0.4000 0.8002
Pt42 0.1998 0.4006 0.1998
Pt43 0.1998 0.6000 0.4000
Pt44 0.1999 0.6000 0.6000
Pt45 0.1998 0.6000 0.8002
Pt46 0.2000 0.8000 0.2000
Pt47 0.1998 0.8002 0.4000
Pt48 0.1998 0.8002 0.6000
Pt49 0.2000 0.8000 0.8000
Pt50 0.3986 0.0002 0.8006
Pt51 0.3986 0.8006 0.0002
Pt52 0.3986 0.8006 0.8006
Pt53 0.4002 0.0000 0.0000
Pt54 0.3999 0.0001 0.2000
Pt55 0.3999 0.0001 0.3999
Pt56 0.4002 0.0000 0.5998
Pt57 0.3999 0.2000 0.0001
Pt58 0.3999 0.2000 0.3999
Pt59 0.4000 0.1998 0.6000
Pt60 0.4000 0.1998 0.8002
Pt61 0.3999 0.3999 0.0001
Pt62 0.3999 0.3999 0.2000
Pt63 0.4000 0.4000 0.4000
Pt64 0.3999 0.3999 0.6001
Pt65 0.4000 0.4000 0.8001
Pt66 0.4002 0.5998 0.0000
Pt67 0.4000 0.6000 0.1998
Pt68 0.3999 0.6001 0.3999
Pt69 0.3999 0.6001 0.6001
Pt70 0.4000 0.6000 0.8002
Pt71 0.4000 0.8002 0.1998
Pt72 0.4000 0.8001 0.4000
Pt73 0.4000 0.8002 0.6000
Pt74 0.4006 0.1998 0.1998
Pt75 0.5994 0.8002 0.8002
Pt76 0.5998 0.0000 0.0000
Pt77 0.5998 0.0000 0.4002
Pt78 0.6001 0.9999 0.6001
Pt79 0.6001 0.9999 0.8000
Pt80 0.6000 0.1998 0.4000
Pt81 0.6000 0.1999 0.6000
Pt82 0.6000 0.1998 0.8002
Pt83 0.5998 0.4002 0.0000
Pt84 0.6000 0.4000 0.1998
Pt85 0.6001 0.3999 0.3999
Pt86 0.6001 0.3999 0.6001
Pt87 0.6000 0.4000 0.8002
Pt88 0.6001 0.6001 0.9999
Pt89 0.6000 0.6000 0.1999
Pt90 0.6001 0.6001 0.3999
Pt91 0.6000 0.6000 0.6000
Pt92 0.6001 0.6001 0.8000
Pt93 0.6001 0.8000 0.9999
Pt94 0.6000 0.8002 0.1998
Pt95 0.6000 0.8002 0.4000
Pt96 0.6001 0.8000 0.6001
Pt97 0.6014 0.9998 0.1994
Pt98 0.6014 0.1994 0.9998
Pt99 0.6014 0.1994 0.1994
Pt100 0.8000 0.9999 0.6001
Pt101 0.8000 0.2000 0.2000
Pt102 0.8002 0.1998 0.4000
Pt103 0.8002 0.1998 0.6000
Pt104 0.8000 0.2000 0.8000
Pt105 0.8002 0.4000 0.1998
Pt106 0.8001 0.4000 0.4000
Pt107 0.8002 0.4000 0.6000
Pt108 0.8002 0.5994 0.8002
Pt109 0.8000 0.6001 0.9999
Pt110 0.8002 0.6000 0.1998
Pt111 0.8002 0.6000 0.4000
Pt112 0.8000 0.6001 0.6001
Pt113 0.8000 0.8000 0.2000
Pt114 0.8002 0.8002 0.5994
Pt115 0.8002 0.8002 0.8002
Pt116 0.8006 0.0002 0.3986
Pt117 0.8006 0.0002 0.8006
Pt118 0.8006 0.3986 0.0002
Pt119 0.8006 0.3986 0.8006
Pt120 0.8006 0.8006 0.0002
Pt121 0.8006 0.8006 0.3986
Pt122 0.8024 0.0000 0.0000
Pt123 0.8024 0.0000 0.1976
Pt124 0.8024 0.1976 0.0000

=====

[6]
VASP calculation (PBE-GGA) on a geometry-optimized ZnPt structure.

Calculated values
Calculated formation energy = -0.1170 eV per atom
V = 16.578 A^3/atom
Spin magnetization = 0.00 μB/f.u.

Lattice parameters (Å, degrees): 5.0996 5.0996 5.0996 90.00 90.00 90.00
Fractional coordinates of all 8 atoms:
Zn1 0.0000 0.0000 0.0000
Zn2 0.0000 0.5000 0.5000
Zn3 0.5000 0.0000 0.5000
Zn4 0.5000 0.5000 0.0000
Pt1 0.0000 0.0000 0.5000
Pt2 0.0000 0.5000 0.0000
Pt3 0.5000 0.0000 0.0000
Pt4 0.5000 0.5000 0.5000

=====

[7]
VASP calculation (PBE-GGA) on a geometry-optimized Zn2Pt structure.

Calculated values
Calculated formation energy = 0.4747 eV per atom
V = 56.833 A^3/atom
Spin magnetization = 0.00 μB/f.u.

Lattice parameters (Å, degrees): 7.8419 7.8419 7.8419 60.00 60.00 60.00
Fractional coordinates of all 6 atoms:
Zn1 0.0000 0.0000 0.0000
Zn2 0.0000 0.0000 0.5000
Zn3 0.0000 0.5000 0.0000
Zn4 0.5000 0.0000 0.0000
Pt1 0.1250 0.1250 0.1250
Pt2 0.8750 0.8750 0.8750

=====

[8]
VASP calculation (PBE-GGA) on a geometry-optimized ZnPt structure.

Calculated values
Calculated formation energy = -0.4261 eV per atom
V = 14.930 A^3/atom
Spin magnetization = 0.00 μB/f.u.

Lattice parameters (Å, degrees): 2.8700 2.8700 4.1859 90.00 90.00 120.00
Fractional coordinates of all 2 atoms:
Zn1 0.0000 0.0000 0.0000
Pt1 0.3333 0.6667 0.5000

=====

[9]
VASP calculation (PBE-GGA) on a geometry-optimized Zn3Pt structure.

Calculated values
Calculated formation energy = -0.3531 eV per atom
V = 15.780 A^3/atom
Spin magnetization = 0.00 μB/f.u.

Lattice parameters (Å, degrees): 4.1333 7.7683 7.8631 90.00 90.00 90.00
Fractional coordinates of all 16 atoms:
Zn1 0.0000 0.0016 0.2500
Zn2 0.0000 0.3388 0.5788
Zn3 0.0000 0.3388 0.9212
Zn4 0.0000 0.6612 0.0788
Zn5 0.0000 0.6612 0.4212
Zn6 0.0000 0.9984 0.7500
Zn7 0.5000 0.1612 0.0788
Zn8 0.5000 0.1612 0.4212
Zn9 0.5000 0.4984 0.7500
Zn10 0.5000 0.5016 0.2500
Zn11 0.5000 0.8388 0.5788
Zn12 0.5000 0.8388 0.9212
Pt1 0.0000 0.3245 0.2500
Pt2 0.0000 0.6755 0.7500
Pt3 0.5000 0.1755 0.7500
Pt4 0.5000 0.8245 0.2500

=====

[10]
VASP calculation (PBE-GGA) on a geometry-optimized ZnPt structure.

Calculated values
Calculated formation energy = 0.3481 eV per atom
V = 22.694 A^3/atom
Spin magnetization = 0.00 μB/f.u.

Lattice parameters (Å, degrees): 5.6624 5.6624 5.6624 90.00 90.00 90.00
Fractional coordinates of all 8 atoms:
Zn1 0.0000 0.0000 0.0000
Zn2 0.0000 0.5000 0.5000
Zn3 0.5000 0.0000 0.5000
Zn4 0.5000 0.5000 0.0000
Pt1 0.2500 0.2500 0.2500
Pt2 0.2500 0.7500 0.7500
Pt3 0.7500 0.2500 0.7500
Pt4 0.7500 0.7500 0.2500

=====

[11]
VASP calculation (PBE-GGA) on a geometry-optimized Zn2Pt7 structure.

Calculated values
Calculated formation energy = -0.0202 eV per atom
V = 24.756 A^3/atom
Spin magnetization = 0.12 μB/f.u.

Lattice parameters (Å, degrees): 2.7816 2.7816 33.2491 90.00 90.00 120.00
Fractional coordinates of all 9 atoms:
Zn1 0.3333 0.6667 0.2250
Zn2 0.6667 0.3333 0.7750
Pt1 0.0000 0.0000 0.2894
Pt2 0.0000 0.0000 0.5000
Pt3 0.0000 0.0000 0.7106
Pt4 0.3333 0.6667 0.4305
Pt5 0.3333 0.6667 0.6393
Pt6 0.6667 0.3333 0.3607
Pt7 0.6667 0.3333 0.5695

=====

[12]
VASP calculation (PBE-GGA) on a geometry-optimized Zn2Pt9 structure.

Calculated values
Calculated formation energy = -0.0166 eV per atom
V = 23.081 A^3/atom
Spin magnetization = 0.00 μB/f.u.

Lattice parameters (Å, degrees): 2.7909 2.7909 37.6377 90.00 90.00 120.00
Fractional coordinates of all 11 atoms:
Zn1 0.3333 0.6667 0.3042
Zn2 0.6667 0.3333 0.6958
Pt1 0.0000 0.0000 0.0000
Pt2 0.0000 0.0000 0.1841
Pt3 0.0000 0.0000 0.8159
Pt4 0.3333 0.6667 0.1225
Pt5 0.3333 0.6667 0.7527
Pt6 0.3333 0.6667 0.9388
Pt7 0.6667 0.3333 0.0612
Pt8 0.6667 0.3333 0.2473
Pt9 0.6667 0.3333 0.8775

=====

[13]
VASP calculation (PBE-GGA) on a geometry-optimized ZnPt7 structure.

Calculated values
Calculated formation energy = -0.0181 eV per atom
V = 22.036 A^3/atom
Spin magnetization = 0.01 μB/f.u.

Lattice parameters (Å, degrees): 2.8171 2.8171 44.4257 90.00 90.00 90.00
Fractional coordinates of all 16 atoms:
Zn1 0.2500 0.2500 0.1714
Zn2 0.7500 0.7500 0.8286
Pt1 0.2500 0.2500 0.2560
Pt2 0.2500 0.2500 0.3452
Pt3 0.2500 0.2500 0.4337
Pt4 0.2500 0.2500 0.5221
Pt5 0.2500 0.2500 0.6105
Pt6 0.2500 0.2500 0.6992
Pt7 0.2500 0.2500 0.7906
Pt8 0.7500 0.7500 0.2094
Pt9 0.7500 0.7500 0.3008
Pt10 0.7500 0.7500 0.3895
Pt11 0.7500 0.7500 0.4779
Pt12 0.7500 0.7500 0.5663
Pt13 0.7500 0.7500 0.6548
Pt14 0.7500 0.7500 0.7440

=====

[14]
VASP calculation (PBE-GGA) on a geometry-optimized Zn2Pt structure.

Calculated values
Calculated formation energy = -0.3410 eV per atom
V = 14.684 A^3/atom
Spin magnetization = 0.00 μB/f.u.

Lattice parameters (Å, degrees): 7.2366 4.5390 10.9110 90.00 100.49 90.00
Fractional coordinates of all 24 atoms:
Zn1 0.0400 0.2500 0.3135
Zn2 0.0466 0.2500 0.0693
Zn3 0.0613 0.2500 0.5718
Zn4 0.0730 0.2500 0.8224
Zn5 0.2735 0.7500 0.3441
Zn6 0.2748 0.7500 0.1023
Zn7 0.3898 0.2500 0.9867
Zn8 0.3909 0.2500 0.4851
Zn9 0.6091 0.7500 0.5149
Zn10 0.6102 0.7500 0.0133
Zn11 0.7252 0.2500 0.8977
Zn12 0.7265 0.2500 0.6559
Zn13 0.9270 0.7500 0.1776
Zn14 0.9387 0.7500 0.4282
Zn15 0.9534 0.7500 0.9307
Zn16 0.9600 0.7500 0.6865
Pt1 0.2680 0.7500 0.5842
Pt2 0.2848 0.7500 0.8596
Pt3 0.3638 0.2500 0.2345
Pt4 0.3935 0.2500 0.7335
Pt5 0.6065 0.7500 0.2665
Pt6 0.6362 0.7500 0.7655
Pt7 0.7152 0.2500 0.1404
Pt8 0.7320 0.2500 0.4158